Entry 1:
Sr2YIn | PBE | relaxed

Results
Energy relative to the elements   -0.7 eV/f.u.
Space group   P4mm

Geometry as POSCAR:
```
Sr2YIn
1.0
3.921 0.000 0.000
0.000 3.921 0.000
0.000 0.000 10.154
In Sr Y
1 2 1
Direct
0.500 0.500 0.722
0.500 0.500 0.278
0.000 0.000 0.940
0.000 0.000 0.560
```

***

Entry 2:
LaGdMg | PBE | relaxed

Results
Energy relative to the elements   -0.2 eV/f.u.
E above lowest polymorph   0 meV/atom
Space group   I4mm

Geometry as POSCAR:
```
LaGdMg
1.0
3.798 0.000 0.000
0.000 3.798 0.000
-1.899 -1.899 6.536
Mg Gd La
1 1 1
Direct
0.672 0.672 0.344
0.321 0.321 0.642
0.007 0.007 0.014
```

***

Entry 3:
BeInCl | PBE | relaxed

Results
E_form (uncorrected)   479 meV/atom
E above lowest polymorph   672 meV/atom
Space group   F-43m

Geometry as POSCAR:
```
BeInCl
1.0
4.901 0.000 0.000
2.450 4.244 0.000
2.450 1.415 4.001
Cl In Be
1 1 1
Direct
0.500 0.500 0.500
0.750 0.750 0.750
0.000 0.000 0.000
```

***

Entry 4:
RbCuHg2As | PBE | relaxed

Results
Energy relative to the elements   0.0 eV/f.u.
Space group   P4/mmm

Geometry as POSCAR:
```
RbCuHg2As
1.0
5.391 0.000 0.000
0.000 5.391 0.000
0.000 0.000 4.840
Hg Rb Cu As
2 1 1 1
Direct
0.000 0.500 0.000
0.500 0.000 0.000
0.500 0.500 0.500
0.000 0.000 0.000
0.000 0.000 0.500
```

***

Entry 5:
MnAlC3 | PBE | relaxed

Results
Energy relative to the elements   8.5 eV/f.u.
E above lowest polymorph   0 meV/atom
Space group   Pm-3m

Geometry as POSCAR:
```
MnAlC3
1.0
3.773 0.000 0.000
0.000 3.773 0.000
0.000 0.000 3.773
Mn C Al
1 3 1
Direct
0.000 0.000 0.000
0.500 0.000 0.000
0.000 0.000 0.500
0.000 0.500 0.000
0.500 0.500 0.500
```

***

Entry 6:
Zn2CuPt | PBE | relaxed

Results
Energy relative to the elements   -1.0 eV/f.u.
Space group   R-3m

Geometry as POSCAR:
```
Zn2CuPt
1.0
8.702 0.044 0.026
8.246 2.779 0.026
8.246 1.373 2.416
Pt Cu Zn
1 1 2
Direct
0.750 0.750 0.750
0.250 0.250 0.250
0.503 0.503 0.503
0.997 0.997 0.997
```

***

Number 1: total energy -3.31 eV per atom. Number 2: total energy -6.93 eV per atom. Number 3: total energy -2.29 eV per atom. Number 4: total energy -2.06 eV per atom. Number 5: total energy -6.42 eV per atom. Number 6: total energy -3.41 eV per atom.